Below is a relaxed structure of Sm3Dy6Tm2In, with properties calculated at the PBE-GGA level.

Summary:
symmetry = C2/m, No. 12
energy of formation = -0.03 eV/atom

Cell lengths 6.1228, 6.1228, 11.5993 Å; angles 95.08, 95.08, 120.03 degrees
With the nearest neighbours (Å) after each atom.
Sites, in units of the cell vectors:
Sm1 0.0000 0.0000 0.0000  6 Sm 3.53-3.54, 6 Dy 3.57
Sm2 0.3329 0.6671 0.0000  6 Sm 3.53-3.54, 6 Dy 3.55-3.59
Sm3 0.6671 0.3329 0.0000  6 Sm 3.53-3.54, 6 Dy 3.55-3.59
Dy1 0.0914 0.4198 0.2569  1 In 3.42, 2 Tm 3.45-3.46, 6 Dy 3.48-3.56, 3 Sm 3.56-3.59
Dy2 0.2519 0.2519 0.7445  1 In 3.45, 2 Tm 3.46, 6 Dy 3.48-3.56, 3 Sm 3.55-3.57
Dy3 0.4198 0.0914 0.2569  1 In 3.42, 2 Tm 3.45-3.46, 6 Dy 3.48-3.56, 3 Sm 3.56-3.59
Dy4 0.5802 0.9086 0.7431  1 In 3.42, 2 Tm 3.45-3.46, 6 Dy 3.48-3.56, 3 Sm 3.56-3.59
Dy5 0.7481 0.7481 0.2555  1 In 3.45, 2 Tm 3.46, 6 Dy 3.48-3.56, 3 Sm 3.55-3.57
Dy6 0.9086 0.5802 0.7431  1 In 3.42, 2 Tm 3.45-3.46, 6 Dy 3.48-3.56, 3 Sm 3.56-3.59
Tm1 0.1660 0.8340 0.5000  6 Dy 3.45-3.46, 3 Tm 3.52-3.54, 3 In 3.53-3.54
Tm2 0.8340 0.1660 0.5000  6 Dy 3.45-3.46, 3 Tm 3.52-3.54, 3 In 3.53-3.54
In1 0.5000 0.5000 0.5000  6 Dy 3.42-3.45, 6 Tm 3.53-3.54